[1]
ZrCr3 | GGA-PBE | optimized geometry

Calculated values
Calculated total energy   -36.299 eV/cell
Formation energy   0.28 eV per atom

Lattice parameters (Å, degrees): 4.382 4.382 3.104 90.00 90.00 90.00
Space group P4/mmm (No. 123)
Inequivalent atoms, fractional coordinates:
Zr 0.000 0.000 0.000 x1
Cr 0.000 0.500 0.500 x2
Cr 0.500 0.500 0.000 x1

***

[2]
Zr2Cr | GGA-PBE | optimized geometry

Calculated values
Calculated total energy   -98.033 eV/cell
Formation energy   0.74 eV per atom

Lattice parameters (Å, degrees): 5.6699 5.6699 9.4234 90.00 90.00 120.00
Space group P6_3/mmc (No. 194)
Inequivalent atoms, fractional coordinates:
Zr 0.0000 0.0000 0.0000 x2
Zr 0.1714 0.3428 0.2500 x6
Cr 0.3333 0.6667 0.5567 x4

***

[3]
ZrCr2 | GGA-PBE | optimized geometry

Calculated values
Calculated total energy   -110.147 eV/cell
Formation energy   0.09 eV per atom

Lattice parameters (Å, degrees): 3.628 10.116 5.179 90.00 90.00 90.00
Space group Cmcm (No. 63)
Inequivalent atoms, fractional coordinates:
Zr 0.000 0.215 0.250 x4
Cr 0.000 0.064 0.750 x4
Cr 0.000 0.500 0.000 x4

***

[4]
Zr2Cr | GGA-PBE | optimized geometry

Calculated values
Calculated total energy   -50.579 eV/cell
Formation energy   0.48 eV per atom

Lattice parameters (Å, degrees): 6.178 6.629 3.070 90.00 90.00 90.00
Space group Pnnm (No. 58)
Inequivalent atoms, fractional coordinates:
Zr 0.164 0.202 0.000 x4
Cr 0.000 0.500 0.500 x2

***

[5]
Zr3Cr | GGA-PBE | optimized geometry

Calculated values
Calculated total energy   -69.521 eV/cell
Formation energy   0.13 eV per atom

Lattice parameters (Å, degrees): 3.369 9.616 4.989 90.00 90.00 90.00
Space group Imm2 (No. 44)
Inequivalent atoms, fractional coordinates:
Zr 0.000 0.000 0.000 x2
Zr 0.000 0.212 0.489 x4
Cr 0.000 0.500 0.049 x2

***

[6]
ZrCr3 | GGA-PBE | optimized geometry

Calculated values
Calculated total energy   -72.696 eV/cell
Formation energy   0.27 eV per atom

Lattice parameters (Å, degrees): 3.032 4.416 8.468 90.00 90.00 90.00
Space group Immm (No. 71)
Inequivalent atoms, fractional coordinates:
Zr 0.000 0.000 0.000 x2
Cr 0.000 0.000 0.500 x2
Cr 0.000 0.500 0.233 x4

***

[7]
Zr3Cr5 | GGA-PBE | optimized geometry

Calculated values
Calculated total energy   -143.574 eV/cell
Formation energy   0.25 eV per atom

Lattice parameters (Å, degrees): 6.453 9.086 4.449 90.00 90.00 90.00
Space group Cmmm (No. 65)
Inequivalent atoms, fractional coordinates:
Zr 0.000 0.000 0.000 x2
Zr 0.000 0.249 0.500 x4
Cr 0.000 0.500 0.000 x2
Cr 0.228 0.500 0.500 x4
Cr 0.250 0.250 0.000 x4

***

[8]
Zr2Cr | GGA-PBE | optimized geometry

Calculated values
Calculated total energy   -103.538 eV/cell
Formation energy   0.28 eV per atom

Lattice parameters (Å, degrees): 3.150 3.150 24.975 90.00 90.00 90.00
Space group I4_1/amd (No. 141, origin choice 2)
Inequivalent atoms, fractional coordinates:
Zr 0.000 0.250 0.312 x8
Cr 0.000 0.250 0.875 x4

***

[9]
Zr3Cr | GGA-PBE | optimized geometry

Calculated values
Calculated total energy   -68.859 eV/cell
Formation energy   0.21 eV per atom

Lattice parameters (Å, degrees): 6.2348 6.2348 5.0234 90.00 90.00 120.00
Space group P6_3/mmc (No. 194)
Inequivalent atoms, fractional coordinates:
Zr 0.1727 0.3454 0.2500 x6
Cr 0.3333 0.6667 0.7500 x2

***

[10]
ZrCr2 | GGA-PBE | optimized geometry

Calculated values
Calculated total energy   -105.875 eV/cell
Formation energy   0.44 eV per atom

Lattice parameters (Å, degrees): 4.620 4.620 9.297 90.00 90.00 90.00
Space group I4/mcm (No. 140)
Inequivalent atoms, fractional coordinates:
Zr 0.000 0.000 0.250 x4
Cr 0.200 0.300 0.000 x8

***

[11]
Zr2Cr | GGA-PBE | optimized geometry

Calculated values
Calculated total energy   -104.294 eV/cell
Formation energy   0.22 eV per atom

Lattice parameters (Å, degrees): 10.683 3.229 7.042 90.00 106.84 90.00
Space group Cm (No. 8)
Inequivalent atoms, fractional coordinates:
Zr 0.000 0.000 0.000 x2
Zr 0.002 0.000 0.500 x2
Zr 0.195 0.500 0.309 x2
Zr 0.309 0.000 0.687 x2
Cr 0.183 0.500 0.878 x2
Cr 0.313 0.000 0.112 x2

***

[12]
Zr3Cr | GGA-PBE | optimized geometry

Calculated values
Calculated total energy   -34.368 eV/cell
Formation energy   0.22 eV per atom

Lattice parameters (Å, degrees): 3.171 4.612 5.834 90.00 104.46 90.00
Space group P2/m (No. 10)
Inequivalent atoms, fractional coordinates:
Zr 0.000 0.000 0.000 x1
Zr 0.317 0.500 0.731 x2
Cr 0.500 0.000 0.500 x1